Entry 1:
Below is an optimized crystal structure of LaGaSN2, with properties calculated at the PBE level.

The relative energy among the computed polymorphs comes out at 0 meV/atom.

The structure belongs to space group P4/mmm (No. 123); the cell edges are 4.0518, 4.0518 and 4.8028 Å and the angles 90.00°, 90.00° and 90.00°. Symmetry generates all atoms from La at (0.0000, 0.0000, 0.0000), Ga at (0.5000, 0.5000, 0.5000), S at (0.5000, 0.5000, 0.0000) and N at (0.0000, 0.5000, 0.5000).


Entry 2:
Below is an optimized crystal structure of TiTl2Re3O12, with properties calculated at the PBE level.

The structure belongs to space group R-3m (No. 166, hexagonal axes); the cell edges are 7.3127, 7.3127 and 17.7510 Å and the angles 90.00°, 90.00° and 120.00°. Symmetry generates all atoms from Ti at (0.0000, 0.0000, 0.0000), Tl at (0.0000, 0.0000, 0.3957), Re at (0.0000, 0.5000, 0.5000), O at (0.0778, 0.5389, 0.8546) and O at (0.0871, 0.5436, 0.6002).


no.,density of states at the Fermi level (states/eV per atom),formation energy from raw total energies (eV per atom),final energy (eV/cell)
1,0.5549,-0.1317,-29.391
2,0.2325,-1.6599,-418.047